1.
Below is a crystal of CdTc2Ag relaxed with PBEsol, with properties calculated at the SCAN level.

a b c (Å): 3.2386 4.1412 9.3923
angles (deg): 90.00 90.00 90.00
Closest atoms and distances in Å follow each position.
Atoms (fractional coordinates):
Cd  0.0000  0.0000  0.0000  4 Ag 2.63, 4 Tc 2.86
Cd  0.5000  0.5000  0.5000  4 Ag 2.63, 4 Tc 2.86
Tc  0.0000  0.5000  0.2486  4 Tc 2.63, 2 Ag 2.84, 2 Cd 2.86
Tc  0.0000  0.5000  0.7514  4 Tc 2.63, 2 Ag 2.84, 2 Cd 2.86
Tc  0.5000  0.0000  0.2514  4 Tc 2.63, 2 Ag 2.84, 2 Cd 2.86
Tc  0.5000  0.0000  0.7486  4 Tc 2.63, 2 Ag 2.84, 2 Cd 2.86
Ag  0.0000  0.0000  0.5000  4 Cd 2.63, 4 Tc 2.84
Ag  0.5000  0.5000  0.0000  4 Cd 2.63, 4 Tc 2.84

Summary:
- D(E_F): 3.73 states/eV/f.u.
- Volume: 15.75 Å³/atom
- Magnetic moment: 0.000 Bohr magnetons per cell
- Formation energy from the elements: 0.54 eV/atom

2.
Below is a crystal of Al13Tl3S21 relaxed with PBEsol, with properties calculated at the SCAN level.

a b c (Å): 14.5454 14.5454 9.1974
angles (deg): 101.87 101.87 61.24
Closest atoms and distances in Å follow each position.
Atoms (fractional coordinates):
Al  0.0000  0.0000  0.0000  4 S 2.20-2.31
Al  0.0053  0.4985  0.0080  4 S 2.21-2.32
Al  0.0529  0.3007  0.6502  4 S 2.22-2.31
Al  0.0577  0.8015  0.6567  4 S 2.19-2.30
Al  0.0722  0.5419  0.6730  4 S 2.19-2.32
Al  0.1924  0.4448  0.3336  4 S 2.22-2.30
Al  0.1920  0.6911  0.3428  4 S 2.22-2.34
Al  0.2375  0.7685  0.0110  4 S 2.18-2.30
Al  0.3007  0.0529  0.6502  4 S 2.22-2.31
Al  0.3068  0.3068  0.6723  4 S 2.21-2.30
Al  0.3077  0.8148  0.6751  4 S 2.21-2.33
Al  0.4404  0.9392  0.3402  4 S 2.21-2.32
Al  0.4448  0.1924  0.3336  4 S 2.22-2.30
Al  0.4527  0.6934  0.3423  4 S 2.22-2.33
Al  0.4985  0.0053  0.0080  4 S 2.21-2.32
Al  0.4980  0.7458  0.9964  4 S 2.22-2.29
Al  0.5419  0.0722  0.6730  4 S 2.19-2.32
Al  0.6911  0.1920  0.3428  4 S 2.22-2.34
Al  0.6934  0.4527  0.3423  4 S 2.22-2.33
Al  0.7442  0.9967  0.9987  4 S 2.20-2.30
Al  0.7458  0.4980  0.9964  4 S 2.22-2.29
Al  0.7685  0.2375  0.0110  4 S 2.18-2.30
Al  0.8015  0.0577  0.6567  4 S 2.19-2.30
Al  0.8148  0.3077  0.6751  4 S 2.21-2.33
Al  0.9392  0.4404  0.3402  4 S 2.21-2.32
Al  0.9967  0.7442  0.9987  4 S 2.20-2.30
Tl  0.0413  0.0413  0.4364  11 S 3.33-3.73
Tl  0.1763  0.1763  0.0972  10 S 3.32-3.68
Tl  0.4132  0.4132  0.1265  5 S 3.13-3.49
Tl  0.4825  0.4825  0.6776  5 S 3.07-3.32
Tl  0.7060  0.7060  0.7595  3 S 3.14-3.21
Tl  0.7680  0.7680  0.3308  3 S 2.99-3.19
S  0.0297  0.5401  0.4184  3 Al 2.29-2.32
S  0.0327  0.7957  0.4122  2 Al 2.19-2.22
S  0.0391  0.2793  0.4021  2 Al 2.21-2.22
S  0.1665  0.9358  0.0988  2 Al 2.18-2.20
S  0.1729  0.6703  0.0813  3 Al 2.28-2.34
S  0.1740  0.4040  0.0864  2 Al 2.21-2.22
S  0.2182  0.9866  0.7407  2 Al 2.21-2.22
S  0.2269  0.2269  0.7548  3 Al 2.30
S  0.2307  0.7285  0.7544  3 Al 2.27-2.33
S  0.2406  0.4775  0.7560  2 Al 2.19-2.21
S  0.2793  0.0391  0.4021  2 Al 2.21-2.22
S  0.2807  0.2807  0.4146  3 Al 2.30
S  0.2868  0.7846  0.4166  3 Al 2.29-2.31
S  0.2911  0.5290  0.4055  2 Al 2.22-2.23
S  0.4040  0.1740  0.0864  2 Al 2.21-2.22
S  0.4144  0.6719  0.0823  3 Al 2.29-2.33
S  0.4180  0.9225  0.0806  3 Al 2.29-2.32
S  0.4775  0.2406  0.7560  2 Al 2.19-2.21
S  0.4771  0.9772  0.7482  3 Al 2.28-2.32
S  0.4782  0.7177  0.7477  2 Al 2.22
S  0.5284  0.5284  0.3964  2 Al 2.22
S  0.5290  0.2911  0.4055  2 Al 2.22-2.23
S  0.5401  0.0297  0.4184  3 Al 2.29-2.32
S  0.5453  0.7827  0.4182  2 Al 2.21-2.22
S  0.6703  0.1729  0.0813  3 Al 2.28-2.34
S  0.6719  0.4144  0.0823  3 Al 2.29-2.33
S  0.6718  0.6718  0.0662  2 Al 2.23
S  0.6724  0.9110  0.0646  2 Al 2.20-2.23
S  0.7177  0.4782  0.7477  2 Al 2.22
S  0.7222  0.9786  0.7414  3 Al 2.30-2.32
S  0.7285  0.2307  0.7544  3 Al 2.27-2.33
S  0.7827  0.5453  0.4182  2 Al 2.21-2.22
S  0.7846  0.2868  0.4166  3 Al 2.29-2.31
S  0.7957  0.0327  0.4122  2 Al 2.19-2.22
S  0.9110  0.6724  0.0646  2 Al 2.20-2.23
S  0.9201  0.9201  0.0836  3 Al 2.28-2.31
S  0.9225  0.4180  0.0806  3 Al 2.29-2.32
S  0.9358  0.1665  0.0988  2 Al 2.18-2.20
S  0.9772  0.4771  0.7482  3 Al 2.28-2.32
S  0.9777  0.9777  0.7441  3 Al 2.29
S  0.9786  0.7222  0.7414  3 Al 2.30-2.32
S  0.9866  0.2182  0.7407  2 Al 2.21-2.22

Summary:
- D(E_F): 0.00 states/eV/f.u.
- Volume: 22.38 Å³/atom
- Magnetic moment: 0.000 Bohr magnetons per cell
- ΔE_f (raw): -1.193 eV/atom

3.
Below is a crystal of BaFe2ReGe relaxed with PBEsol, with properties calculated at the SCAN level.

a b c (Å): 4.7784 4.7784 4.7824
angles (deg): 90.00 90.00 90.00
Closest atoms and distances in Å follow each position.
Atoms (fractional coordinates):
Ba  0.0000  0.0000  0.0000  4 Ge 3.38, 8 Fe 3.38
Fe  0.0000  0.5000  0.5000  2 Re 2.39
Fe  0.5000  0.0000  0.5000  2 Re 2.39
Re  0.5000  0.5000  0.5000  4 Fe 2.39, 2 Ge 2.39
Ge  0.5000  0.5000  0.0000  2 Re 2.39

Summary:
- D(E_F): 3.95 states/eV/f.u.
- Volume: 21.84 Å³/atom
- Magnetic moment: 5.999 Bohr magnetons per cell
- Formation energy from the elements: 0.45 eV/atom

4.
Below is a crystal of Al7Cu2Rh relaxed with PBEsol, with properties calculated at the SCAN level.

a b c (Å): 6.3698 6.3698 14.7425
angles (deg): 90.00 90.00 90.00
Closest atoms and distances in Å follow each position.
Atoms (fractional coordinates):
Al  0.0000  0.0000  0.1273  1 Rh 2.51, 4 Cu 2.60
Al  0.0000  0.0000  0.8727  1 Rh 2.51, 4 Cu 2.60
Al  0.0856  0.3007  0.4033  3 Cu 2.52-2.57, 1 Rh 2.53, 4 Al 2.73-2.82
Al  0.0856  0.3007  0.5967  3 Cu 2.52-2.57, 1 Rh 2.53, 4 Al 2.73-2.82
Al  0.1494  0.6494  0.2500  2 Rh 2.53, 3 Al 2.69-2.73
Al  0.1494  0.6494  0.7500  2 Rh 2.53, 3 Al 2.69-2.73
Al  0.1993  0.4144  0.0967  3 Cu 2.52-2.57, 1 Rh 2.53, 4 Al 2.73-2.82
Al  0.1993  0.4144  0.9033  3 Cu 2.52-2.57, 1 Rh 2.53, 4 Al 2.73-2.82
Al  0.3007  0.9144  0.4033  3 Cu 2.52-2.57, 1 Rh 2.53, 4 Al 2.73-2.82
Al  0.3007  0.9144  0.5967  3 Cu 2.52-2.57, 1 Rh 2.53, 4 Al 2.73-2.82
Al  0.3506  0.1494  0.2500  2 Rh 2.53, 3 Al 2.69-2.73
Al  0.3506  0.1494  0.7500  2 Rh 2.53, 3 Al 2.69-2.73
Al  0.4144  0.8007  0.0967  3 Cu 2.52-2.57, 1 Rh 2.53, 4 Al 2.73-2.82
Al  0.4144  0.8007  0.9033  3 Cu 2.52-2.57, 1 Rh 2.53, 4 Al 2.73-2.82
Al  0.5000  0.5000  0.3727  1 Rh 2.51, 4 Cu 2.60
Al  0.5000  0.5000  0.6273  1 Rh 2.51, 4 Cu 2.60
Al  0.5856  0.1993  0.0967  3 Cu 2.52-2.57, 1 Rh 2.53, 4 Al 2.73-2.82
Al  0.5856  0.1993  0.9033  3 Cu 2.52-2.57, 1 Rh 2.53, 4 Al 2.73-2.82
Al  0.6494  0.8506  0.2500  2 Rh 2.53, 3 Al 2.69-2.73
Al  0.6494  0.8506  0.7500  2 Rh 2.53, 3 Al 2.69-2.73
Al  0.6993  0.0856  0.4033  3 Cu 2.52-2.57, 1 Rh 2.53, 4 Al 2.73-2.82
Al  0.6993  0.0856  0.5967  3 Cu 2.52-2.57, 1 Rh 2.53, 4 Al 2.73-2.82
Al  0.8007  0.5856  0.0967  3 Cu 2.52-2.57, 1 Rh 2.53, 4 Al 2.73-2.82
Al  0.8007  0.5856  0.9033  3 Cu 2.52-2.57, 1 Rh 2.53, 4 Al 2.73-2.82
Al  0.8506  0.3506  0.2500  2 Rh 2.53, 3 Al 2.69-2.73
Al  0.8506  0.3506  0.7500  2 Rh 2.53, 3 Al 2.69-2.73
Al  0.9144  0.6993  0.4033  3 Cu 2.52-2.57, 1 Rh 2.53, 4 Al 2.73-2.82
Al  0.9144  0.6993  0.5967  3 Cu 2.52-2.57, 1 Rh 2.53, 4 Al 2.73-2.82
Cu  0.0944  0.7330  0.0000  8 Al 2.52-2.60, 2 Cu 2.55
Cu  0.2330  0.5944  0.5000  8 Al 2.52-2.60, 2 Cu 2.55
Cu  0.2670  0.0944  0.0000  8 Al 2.52-2.60, 2 Cu 2.55
Cu  0.4056  0.2330  0.5000  8 Al 2.52-2.60, 2 Cu 2.55
Cu  0.5944  0.7670  0.5000  8 Al 2.52-2.60, 2 Cu 2.55
Cu  0.7330  0.9056  0.0000  8 Al 2.52-2.60, 2 Cu 2.55
Cu  0.7670  0.4056  0.5000  8 Al 2.52-2.60, 2 Cu 2.55
Cu  0.9056  0.2670  0.0000  8 Al 2.52-2.60, 2 Cu 2.55
Rh  0.0000  0.0000  0.2977  9 Al 2.51-2.53
Rh  0.0000  0.0000  0.7023  9 Al 2.51-2.53
Rh  0.5000  0.5000  0.2023  9 Al 2.51-2.53
Rh  0.5000  0.5000  0.7977  9 Al 2.51-2.53

Summary:
- D(E_F): 2.42 states/eV/f.u.
- Volume: 14.95 Å³/atom
- Magnetic moment: 0.000 Bohr magnetons per cell
- Formation energy from the elements: -0.48 eV/atom

5.
Below is a crystal of Sc2TlPb relaxed with PBEsol, with properties calculated at the SCAN level.

a b c (Å): 3.5567 4.8451 5.5901
angles (deg): 90.00 101.14 90.00
Closest atoms and distances in Å follow each position.
Atoms (fractional coordinates):
Sc  0.0000  0.0000  0.0000  4 Pb 3.01, 2 Tl 3.01
Sc  0.0000  0.5000  0.5000  4 Tl 3.01, 2 Pb 3.01
Tl  0.5000  0.0000  0.5000  6 Sc 3.01
Pb  0.5000  0.5000  0.0000  6 Sc 3.01

Summary:
- D(E_F): 2.66 states/eV/f.u.
- Polymorph energy (0 for the lowest one): 18 kJ/mol of formula units
- Volume: 23.63 Å³/atom
- Magnetic moment: 0.000 Bohr magnetons per cell
- Formation energy from the elements: -0.48 eV/atom

6.
Below is a crystal of Ba3TlCo relaxed with PBEsol, with properties calculated at the SCAN level.

a b c (Å): 5.6789 5.6789 5.6789
angles (deg): 90.00 90.00 90.00
Closest atoms and distances in Å follow each position.
Atoms (fractional coordinates):
Ba  0.0000  0.0000  0.5000  2 Co 2.84
Ba  0.0000  0.5000  0.0000  2 Co 2.84
Ba  0.5000  0.0000  0.0000  2 Co 2.84
Tl  0.5000  0.5000  0.5000  12 Ba 4.02
Co  0.0000  0.0000  0.0000  6 Ba 2.84

Summary:
- D(E_F): 5.95 states/eV/f.u.
- Volume: 36.63 Å³/atom
- Magnetic moment: 0.483 Bohr magnetons per cell
- Formation energy from the elements: 0.17 eV/atom

7.
Below is a crystal of CaAgPt4 relaxed with PBEsol, with properties calculated at the SCAN level.

a b c (Å): 5.2825 5.2825 5.2825
angles (deg): 60.00 60.00 60.00
Closest atoms and distances in Å follow each position.
Atoms (fractional coordinates):
Ca  0.0000  0.0000  0.0000  12 Pt 3.10, 4 Ag 3.23
Ag  0.2500  0.2500  0.2500  12 Pt 3.10, 4 Ca 3.23
Pt  0.1256  0.6248  0.6248  6 Pt 2.64-2.65
Pt  0.6248  0.1256  0.6248  6 Pt 2.64-2.65
Pt  0.6248  0.6248  0.1256  6 Pt 2.64-2.65
Pt  0.6248  0.6248  0.6248  6 Pt 2.64-2.65

Summary:
- D(E_F): 2.55 states/eV/f.u.
- Volume: 17.37 Å³/atom
- Magnetic moment: 0.000 Bohr magnetons per cell
- Formation energy from the elements: -0.62 eV/atom

8.
Below is a crystal of NaPdN relaxed with PBEsol, with properties calculated at the SCAN level.

a b c (Å): 4.3130 4.3130 3.6681
angles (deg): 90.00 90.00 120.00
Closest atoms and distances in Å follow each position.
Atoms (fractional coordinates):
Na  0.0000  0.0000  0.0000  3 N 2.49
Pd  0.3333  0.6667  0.5000  2 N 1.83
N  0.3333  0.6667  0.0000  2 Pd 1.83

Summary:
- D(E_F): 1.24 states/eV/f.u.
- Volume: 19.70 Å³/atom
- Magnetic moment: 0.000 Bohr magnetons per cell
- ΔE_f (raw): 0.207 eV/atom

9.
Below is a crystal of Ta3B2 relaxed with PBEsol, with properties calculated at the SCAN level.

a b c (Å): 6.1590 6.1590 3.2698
angles (deg): 90.00 90.00 90.00
Closest atoms and distances in Å follow each position.
Atoms (fractional coordinates):
Ta  0.0000  0.0000  0.0000  4 B 2.50, 8 Ta 2.80
Ta  0.1773  0.3227  0.5000  6 B 2.44-2.48
Ta  0.3227  0.8227  0.5000  6 B 2.44-2.48
Ta  0.5000  0.5000  0.0000  4 B 2.50, 8 Ta 2.80
Ta  0.6773  0.1773  0.5000  6 B 2.44-2.48
Ta  0.8227  0.6773  0.5000  6 B 2.44-2.48
B  0.1085  0.6085  0.0000  1 B 1.89
B  0.3915  0.1085  0.0000  1 B 1.89
B  0.6085  0.8915  0.0000  1 B 1.89
B  0.8915  0.3915  0.0000  1 B 1.89

Summary:
- D(E_F): 1.30 states/eV/f.u.
- Volume: 12.40 Å³/atom
- Magnetic moment: 0.000 Bohr magnetons per cell
- Formation energy from the elements: -0.68 eV/atom

10.
Below is a crystal of Ho2Ge2O7 relaxed with PBEsol, with properties calculated at the SCAN level.

a b c (Å): 6.9835 6.9835 6.9835
angles (deg): 60.00 60.00 60.00
Closest atoms and distances in Å follow each position.
Atoms (fractional coordinates):
Ho  0.0000  0.0000  0.0000  2 O 2.14
Ho  0.0000  0.0000  0.5000  2 O 2.14
Ho  0.0000  0.5000  0.0000  2 O 2.14
Ho  0.5000  0.0000  0.0000  2 O 2.14
Ge  0.0000  0.5000  0.5000  6 O 1.91
Ge  0.5000  0.0000  0.5000  6 O 1.91
Ge  0.5000  0.5000  0.0000  6 O 1.91
Ge  0.5000  0.5000  0.5000  6 O 1.91
O  0.1250  0.1250  0.1250  4 Ho 2.14
O  0.1713  0.1713  0.5787  2 Ge 1.91
O  0.1713  0.5787  0.1713  2 Ge 1.91
O  0.1713  0.5787  0.5787  2 Ge 1.91
O  0.4213  0.4213  0.8287  2 Ge 1.91
O  0.4213  0.8287  0.4213  2 Ge 1.91
O  0.4213  0.8287  0.8287  2 Ge 1.91
O  0.5787  0.1713  0.1713  2 Ge 1.91
O  0.5787  0.1713  0.5787  2 Ge 1.91
O  0.5787  0.5787  0.1713  2 Ge 1.91
O  0.8287  0.4213  0.4213  2 Ge 1.91
O  0.8287  0.4213  0.8287  2 Ge 1.91
O  0.8287  0.8287  0.4213  2 Ge 1.91
O  0.8750  0.8750  0.8750  4 Ho 2.14

Summary:
- D(E_F): 0.00 states/eV/f.u.
- Polymorph energy (0 for the lowest one): 0 kJ/mol of formula units
- Volume: 10.95 Å³/atom
- Magnetic moment: 0.000 Bohr magnetons per cell
- ΔE_f (raw): -2.885 eV/atom

11.
Below is a crystal of LiTe2Se relaxed with PBEsol, with properties calculated at the SCAN level.

a b c (Å): 4.1693 4.1693 10.9226
angles (deg): 90.00 90.00 90.00
Closest atoms and distances in Å follow each position.
Atoms (fractional coordinates):
Li  0.0000  0.0000  0.0000  4 Te 2.95
Li  0.5000  0.5000  0.5000  4 Te 2.95
Te  0.0000  0.0000  0.5000  4 Li 2.95
Te  0.0000  0.5000  0.7500  4 Se 2.95
Te  0.5000  0.0000  0.2500  4 Se 2.95
Te  0.5000  0.5000  0.0000  4 Li 2.95
Se  0.0000  0.5000  0.2500  4 Te 2.95
Se  0.5000  0.0000  0.7500  4 Te 2.95

Summary:
- D(E_F): 2.85 states/eV/f.u.
- Volume: 23.73 Å³/atom
- Magnetic moment: 0.005 Bohr magnetons per cell
- ΔE_f (raw): -0.085 eV/atom

12.
Below is a crystal of Mg2SnAu2 relaxed with PBEsol, with properties calculated at the SCAN level.

a b c (Å): 7.6036 7.6036 3.3392
angles (deg): 90.00 90.00 90.00
Closest atoms and distances in Å follow each position.
Atoms (fractional coordinates):
Mg  0.1598  0.3402  0.0000  6 Au 2.76-2.80
Mg  0.3402  0.8402  0.0000  6 Au 2.76-2.80
Mg  0.6598  0.1598  0.0000  6 Au 2.76-2.80
Mg  0.8402  0.6598  0.0000  6 Au 2.76-2.80
Sn  0.0000  0.0000  0.5000  4 Au 2.96, 8 Mg 3.31
Sn  0.5000  0.5000  0.5000  4 Au 2.96, 8 Mg 3.31
Au  0.1354  0.6354  0.5000  6 Mg 2.76-2.80, 1 Au 2.91, 2 Sn 2.96
Au  0.3646  0.1354  0.5000  6 Mg 2.76-2.80, 1 Au 2.91, 2 Sn 2.96
Au  0.6354  0.8646  0.5000  6 Mg 2.76-2.80, 1 Au 2.91, 2 Sn 2.96
Au  0.8646  0.3646  0.5000  6 Mg 2.76-2.80, 1 Au 2.91, 2 Sn 2.96

Summary:
- D(E_F): 1.56 states/eV/f.u.
- Volume: 19.31 Å³/atom
- Magnetic moment: 0.000 Bohr magnetons per cell
- Formation energy from the elements: -0.57 eV/atom

Question: D(E_F) of number 7 (CaAgPt4)?
Answer: 2.55 states/eV/f.u.

Question: Look up the D(E_F) of the ninth one.
Answer: 1.30 states/eV/f.u.

Question: What is the formula in the eleventh record?
Answer: LiTe2Se

Question: What is the formula in the tenth record?
Answer: Ho2Ge2O7